Record 1
## Na2MoWI (PBE-GGA)

Data for Na2MoWI after structural relaxation.

abc: 6.0339 4.6251 6.0339
angles: 90.00 90.00 90.00
Last column: nearest neighbours and their distance in Å.
Positions (direct):
I1 0.5000 0.5000 0.5000  8 Na 3.80
Na1 0.0000 0.0000 0.5000  2 Mo 3.02
Na2 0.5000 0.0000 0.0000  2 Mo 3.02
Mo1 0.0000 0.0000 0.0000  2 W 2.31
W1 0.0000 0.5000 0.0000  2 Mo 2.31

As for the space group: P4/mmm. The calculation puts the density of states at the Fermi level at 0.464 states/eV per atom.

---

Record 2
## FeNi2Os (PBE-GGA)

Data for FeNi2Os after structural relaxation.

abc: 4.1627 2.5550 4.5220
angles: 90.00 90.00 90.00
Last column: nearest neighbours and their distance in Å.
Positions (direct):
Fe1 0.5000 0.6247 0.7879  2 Os 2.55, 2 Fe 2.56, 8 Ni 2.57-2.62
Ni1 0.0000 0.1252 0.9666  4 Ni 2.52-2.56, 4 Fe 2.57, 4 Os 2.58-2.61
Ni2 0.5000 0.1251 0.2820  4 Ni 2.52-2.56, 4 Fe 2.57-2.62, 4 Os 2.58
Os1 0.0000 0.6250 0.4634  2 Fe 2.55, 2 Os 2.56, 8 Ni 2.58-2.61

As for the space group: Pmm2. The calculation puts the excess energy over the best structure of this formula in the dataset at 0 meV/atom. The calculation puts the density of states at the Fermi level at 1.089 states/eV per atom. The calculation puts the formation energy at 0.3 eV/f.u.

---

Record 3
## AgBiPtO6 (PBE-GGA)

Data for AgBiPtO6 after structural relaxation.

abc: 5.5122 5.5122 9.2184
angles: 90.00 90.00 120.00
Last column: nearest neighbours and their distance in Å.
Positions (direct):
Ag1 0.0000 0.0000 0.0000  6 O 2.33
Ag2 0.0000 0.0000 0.5000  6 O 2.33
Bi1 0.6667 0.3333 0.2500  6 O 2.19
Bi2 0.3333 0.6667 0.7500  6 O 2.19
Pt1 0.3333 0.6667 0.2500  6 O 1.99
Pt2 0.6667 0.3333 0.7500  6 O 1.99
O1 0.6229 0.6506 0.1283  1 Pt 1.99, 1 Bi 2.19
O2 0.0277 0.3771 0.1283  1 Pt 1.99, 1 Bi 2.19
O3 0.3771 0.0277 0.6283  1 Pt 1.99, 1 Bi 2.19
O4 0.9723 0.6229 0.8717  1 Pt 1.99, 1 Bi 2.19
O5 0.3494 0.3771 0.3717  1 Pt 1.99, 1 Bi 2.19
O6 0.0277 0.6506 0.3717  1 Pt 1.99, 1 Bi 2.19
O7 0.6506 0.0277 0.8717  1 Pt 1.99, 1 Bi 2.19
O8 0.6229 0.9723 0.3717  1 Pt 1.99, 1 Bi 2.19
O9 0.9723 0.3494 0.6283  1 Pt 1.99, 1 Bi 2.19
O10 0.3494 0.9723 0.1283  1 Pt 1.99, 1 Bi 2.19
O11 0.6506 0.6229 0.6283  1 Pt 1.99, 1 Bi 2.19
O12 0.3771 0.3494 0.8717  1 Pt 1.99, 1 Bi 2.19

As for the space group: P-31c. The calculation puts the density of states at the Fermi level at 0.717 states/eV per atom.

---

Record 4
## ZnTe (PBE-GGA)

Data for ZnTe after structural relaxation.

abc: 11.3546 11.3546 4.3589
angles: 90.00 90.00 90.00
Last column: nearest neighbours and their distance in Å.
Positions (direct):
Zn1 0.3748 0.8006 0.0000  4 Te 2.64-2.80
Zn2 0.6252 0.1994 0.0000  4 Te 2.64-2.80
Zn3 0.1994 0.3748 0.0000  4 Te 2.64-2.80
Zn4 0.8006 0.6252 0.0000  4 Te 2.64-2.80
Zn5 0.8748 0.3006 0.5000  4 Te 2.64-2.80
Zn6 0.1252 0.6994 0.5000  4 Te 2.64-2.80
Zn7 0.6994 0.8748 0.5000  4 Te 2.64-2.80
Zn8 0.3006 0.1252 0.5000  4 Te 2.64-2.80
Te1 0.3940 0.2237 0.0000  4 Zn 2.64-2.80
Te2 0.6060 0.7763 0.0000  4 Zn 2.64-2.80
Te3 0.7763 0.3940 0.0000  4 Zn 2.64-2.80
Te4 0.2237 0.6060 0.0000  4 Zn 2.64-2.80
Te5 0.8940 0.7237 0.5000  4 Zn 2.64-2.80
Te6 0.1060 0.2763 0.5000  4 Zn 2.64-2.80
Te7 0.2763 0.8940 0.5000  4 Zn 2.64-2.80
Te8 0.7237 0.1060 0.5000  4 Zn 2.64-2.80

As for the space group: I4/m.

---

Record 5
## AcEr (PBE-GGA)

Data for AcEr after structural relaxation.

abc: 3.8018 6.1065 6.4031
angles: 90.00 89.99 90.00
Last column: nearest neighbours and their distance in Å.
Positions (direct):
Ac1 0.2498 0.7500 0.0902  6 Er 3.68-3.76, 6 Ac 3.78-3.80
Ac2 0.7502 0.2500 0.9098  6 Er 3.68-3.76, 6 Ac 3.78-3.80
Er1 0.7498 0.7500 0.5829  6 Ac 3.68-3.76, 6 Er 3.75-3.80
Er2 0.2502 0.2500 0.4171  6 Ac 3.68-3.76, 6 Er 3.75-3.80

As for the space group: Pmmn. The calculation puts the excess energy over the best structure of this formula in the dataset at 0 meV/atom. The calculation puts the density of states at the Fermi level at 1.381 states/eV per atom. The calculation puts the formation energy at 0.2 eV/f.u.

---

Record 6
## SnBiBr3 (PBE-GGA)

Data for SnBiBr3 after structural relaxation.

abc: 5.7566 5.7566 5.7566
angles: 90.00 90.00 90.00
Last column: nearest neighbours and their distance in Å.
Positions (direct):
Bi1 0.5000 0.5000 0.5000  12 Br 4.07
Br1 0.0000 0.5000 0.0000  2 Sn 2.88
Br2 0.0000 0.0000 0.5000  2 Sn 2.88
Br3 0.5000 0.0000 0.0000  2 Sn 2.88
Sn1 0.0000 0.0000 0.0000  6 Br 2.88

As for the space group: Pm-3m. The calculation puts the excess energy over the best structure of this formula in the dataset at 0 meV/atom. The calculation puts the density of states at the Fermi level at 1.456 states/eV per atom.

---

Record 7
## RbHg3Pd (PBE-GGA)

Data for RbHg3Pd after structural relaxation.

abc: 5.1776 15.4427 6.6202
angles: 90.00 67.02 90.00
Last column: nearest neighbours and their distance in Å.
Positions (direct):
Rb1 0.8937 0.2500 0.2161  3 Pd 3.40-3.74, 3 Hg 3.49-3.67
Rb2 0.1063 0.7500 0.7839  3 Pd 3.40-3.74, 3 Hg 3.49-3.67
Hg1 0.5457 0.4137 0.9105  1 Pd 2.66, 1 Hg 2.88
Hg2 0.4543 0.5863 0.0895  1 Pd 2.66, 1 Hg 2.88
Hg3 0.5457 0.0863 0.9105  1 Pd 2.66, 1 Hg 2.88
Hg4 0.4543 0.9137 0.0895  1 Pd 2.66, 1 Hg 2.88
Hg5 0.1800 0.2500 0.6440  2 Pd 2.71
Hg6 0.8200 0.7500 0.3560  2 Pd 2.71
Pd1 0.6149 0.2500 0.7744  4 Hg 2.66-2.71
Pd2 0.3851 0.7500 0.2256  4 Hg 2.66-2.71

As for the space group: P2_1/m. The calculation puts the excess energy over the best structure of this formula in the dataset at 192 meV/atom. The calculation puts the density of states at the Fermi level at 0.295 states/eV per atom. The calculation puts the formation energy at -0.3 eV/f.u.

---

Record 8
## La2TaNbO (PBE-GGA)

Data for La2TaNbO after structural relaxation.

abc: 5.8878 3.8671 5.8878
angles: 90.00 90.00 90.00
Last column: nearest neighbours and their distance in Å.
Positions (direct):
Nb1 0.0000 0.0000 0.0000  2 O 1.93
La1 0.0000 0.0000 0.5000  2 Nb 2.94
La2 0.5000 0.0000 0.0000  2 Nb 2.94
O1 0.0000 0.5000 0.0000  2 Nb 1.93
Ta1 0.5000 0.5000 0.5000  8 La 3.52, 2 Ta 3.87

As for the space group: P4/mmm. The calculation puts the density of states at the Fermi level at 1.719 states/eV per atom.

---

Number 1: raw total energy -21.6 eV per cell, V 33.68 A^3/atom. Number 2: raw total energy -31.0 eV per cell, V 12.02 A^3/atom. Number 3: raw total energy -92.8 eV per cell, V 13.48 A^3/atom. Number 4: raw total energy -41.0 eV per cell, V 35.12 A^3/atom. Number 5: raw total energy -17.0 eV per cell, V 37.16 A^3/atom. Number 6: raw total energy -13.5 eV per cell, V 38.15 A^3/atom. Number 7: raw total energy -14.8 eV per cell, V 48.73 A^3/atom. Number 8: raw total energy -34.9 eV per cell, V 26.81 A^3/atom.